A plane-wave DFT calculation with GGA-PBE was carried out for a geometry-optimized KRbI2N structure.

**Energy above the most stable polymorph in this dataset**: 0.000 eV/atom
**Spin magnetization**: 3.02 μB per formula unit
**Raw formation energy**: -0.038 eV per atom
**E_tot**: -2.74 eV/atom

abc: 6.6774 6.6774 5.4637
angles: 90.00 90.00 90.00
With the nearest neighbours (Å) after each atom.
Space group P4/mmm (No. 123)
Asymmetric unit:
K  0.0000  0.0000  0.0000 [1 per cell]  2 N 2.73
Rb  0.5000  0.5000  0.5000 [1 per cell]  8 I 4.31, 4 N 4.72
I  0.0000  0.5000  0.0000 [2 per cell]  2 K 3.34
N  0.0000  0.0000  0.5000 [1 per cell]  2 K 2.73

A plane-wave DFT calculation with GGA-PBE was carried out for a geometry-optimized SrI structure.

**Spin magnetization**: 0.00 μB per formula unit
**Raw formation energy**: -1.027 eV per atom
**E_tot**: -2.64 eV/atom

abc: 6.7566 6.7566 6.7566
angles: 90.00 90.00 90.00
With the nearest neighbours (Å) after each atom.
Space group Fm-3m (No. 225)
Asymmetric unit:
Sr  0.0000  0.0000  0.0000 [4 per cell]  6 I 3.38
I  0.0000  0.0000  0.5000 [4 per cell]  6 Sr 3.38

A plane-wave DFT calculation with GGA-PBE was carried out for a geometry-optimized Tm12CdCo5 structure.

**Spin magnetization**: 0.00 μB per formula unit
**E_tot**: -5.25 eV/atom
**DFT formation energy**: -23.7 kJ/mol of atoms

abc: 9.2120 9.2590 9.7260
angles: 90.00 90.00 90.00
With the nearest neighbours (Å) after each atom.
Space group Immm (No. 71)
Asymmetric unit:
Tm  0.0000  0.1951  0.1852 [8 per cell]  3 Co 2.67-2.80
Tm  0.1845  0.2130  0.5000 [8 per cell]  3 Co 2.83-3.15
Tm  0.1926  0.5000  0.2859 [8 per cell]  2 Co 2.67-2.74
Cd  0.0000  0.5000  0.0000 [2 per cell]  12 Tm 3.30-3.51
Co  0.0000  0.0000  0.3866 [4 per cell]  1 Co 2.21
Co  0.0000  0.5000  0.5000 [2 per cell]  4 Tm 2.74
Co  0.1251  0.0000  0.0000 [4 per cell]  1 Co 2.31

A plane-wave DFT calculation with GGA-PBE was carried out for a geometry-optimized Li2PmNd2Si2 structure.

**Spin magnetization**: 0.00 μB per formula unit
**Raw formation energy**: -0.387 eV per atom
**E_tot**: -4.52 eV/atom

abc: 4.5028 4.5028 27.9185
angles: 90.00 90.00 120.00
With the nearest neighbours (Å) after each atom.
Space group R-3m (No. 166, hexagonal axes)
Asymmetric unit:
Li  0.0000  0.0000  0.1033 [6 per cell]  3 Si 2.60
Pm  0.0000  0.0000  0.5000 [3 per cell]  6 Li 3.14, 6 Si 3.21
Nd  0.0000  0.0000  0.3738 [6 per cell]  3 Si 3.07, 3 Li 3.14
Si  0.0000  0.0000  0.2343 [6 per cell]  3 Li 2.60